## Er2ZnGa2 (PBE)

Data for a relaxed structure of Er2ZnGa2.

abc: 4.365 5.714 9.417
angles: 87.57 76.60 67.54
Atoms (fractional coordinates):
Ga 0.639 0.839 0.884
Ga 0.361 0.161 0.116
Ga 0.928 0.712 0.433
Ga 0.072 0.288 0.567
Zn 0.381 0.894 0.344
Zn 0.619 0.106 0.656
Er 0.685 0.299 0.331
Er 0.315 0.701 0.669
Er 0.913 0.270 0.904
Er 0.087 0.730 0.096

Properties
ρ: 8.50 g cm⁻³
Formation enthalpy at 0 K: -0.5775 eV per atom